K2HgMo | Alexandria via LeMat-Bulk | SCAN | single point on PBEsol structure; formation energy from the elements = 70 kJ per mole of atoms
1.0
-0.5255 1.9061 2.2211
0.0852 -3.3716 2.9137
9.7753 1.2896 1.2062
K Hg Mo
2 1 1
Direct
0.5000 0.5000 0.3265
0.0000 0.0000 0.9172
0.5000 0.5000 0.6683
0.0000 0.0000 0.5880

ZrSc | Alexandria via LeMat-Bulk | SCAN | single point on PBEsol structure; formation energy from the elements = 4 kJ per mole of atoms
1.0
4.4769 0.0000 0.0000
0.0000 4.4769 0.0000
-2.2385 -2.2385 4.4690
Sc Zr
2 2
Direct
0.7500 0.2500 0.5000
0.5000 0.5000 0.0000
0.2500 0.7500 0.5000
0.0000 0.0000 0.0000